MnReOs2: optimized geometry, PBEsol.

**ΔE to the lowest computed polymorph**: 0.00 eV per formula unit
**Formation energy**: 0.08 eV/atom
**Symmetry**: I-4m2, No. 119
**Calculated total energy**: -0.434 Ha/atom
**DOS at the Fermi energy**: 3.8 states/eV per cell

Lattice parameters (Å, degrees): 4.6281 4.6281 4.6281 131.94 131.94 70.32
Closest atoms and distances in Å follow each position.
Element x y z (fractional)
Mn  0.0000  0.0000  0.0000  8 Os 2.67, 4 Re 2.67
Re  0.2500  0.7500  0.5000  8 Os 2.67, 4 Mn 2.67
Os  0.5000  0.5000  0.0000  4 Mn 2.67, 4 Re 2.67, 4 Os 2.67
Os  0.7500  0.2500  0.5000  4 Re 2.67, 4 Mn 2.67, 4 Os 2.67